The following is a PBE-GGA calculation of a relaxed structure of Th3GaTc2, from the Alexandria database.

Structure (extended XYZ):
```
24
Lattice="-3.763 -0.354 1.375 1.876 -11.492 2.176 3.862 2.767 11.286" Properties=species:S:1:pos:R:3 pbc="T T T"
Th 0.011 -4.151 1.902
Th 1.964 -4.927 12.935
Th 0.482 -9.060 7.812
Th 1.493 -0.018 7.024
Th 1.064 -7.200 4.000
Th 0.911 -1.879 10.837
Th -1.336 -1.330 4.828
Th 3.310 -7.749 10.009
Th 1.272 -3.814 5.441
Th 0.703 -5.265 9.395
Th -0.613 -10.412 4.465
Th 2.588 1.333 10.372
Ga -0.247 -1.072 1.991
Ga 2.221 -8.007 12.846
Ga -0.215 -6.296 6.617
Ga 2.189 -2.783 8.220
Tc 2.243 -6.716 7.353
Tc -0.268 -2.363 7.484
Tc -2.409 -2.460 1.597
Tc 4.384 -6.618 13.239
Tc 2.115 -10.670 5.984
Tc -0.141 1.591 8.852
Tc -1.152 -5.422 4.275
Tc 3.127 -3.657 10.561
```

Summary:
- E above lowest polymorph: 0.00 eV per formula unit
- M_tot: 0.00 μB per atom
- Total energy: -7.899 eV per atom
- Formation energy from the elements: -229 meV/atom